First-principles (PBE) data for LiCa4ZnGa2 after structural relaxation, as listed in Alexandria.

Output
Magnetization = 0.0 μB per cell
Final energy = -2.47 eV/atom

a b c (Å): 5.2457 5.2457 9.1091
angles (deg): 73.27 73.27 60.00
Atoms (fractional coordinates):
Li1 0.0000 0.0000 0.0000
Ca1 0.3782 0.3782 0.8653
Ca2 0.8719 0.8719 0.3842
Ca3 0.1281 0.1281 0.6158
Ca4 0.6218 0.6218 0.1347
Zn1 0.5000 0.5000 0.5000
Ga1 0.7463 0.7463 0.7610
Ga2 0.2537 0.2537 0.2390

***

First-principles (PBE) data for LiCaZnGa2 after structural relaxation, as listed in Alexandria.

Output
Magnetization = 0.0 μB per cell
Final energy = -2.58 eV/atom

a b c (Å): 4.2398 4.2398 6.2940
angles (deg): 109.68 109.68 90.00
Atoms (fractional coordinates):
Li1 0.7500 0.2500 0.5000
Ca1 0.0000 0.0000 0.0000
Zn1 0.2500 0.7500 0.5000
Ga1 0.6141 0.6141 0.2281
Ga2 0.3859 0.3859 0.7719

***

First-principles (PBE) data for LiCa2Zn4Ga3 after structural relaxation, as listed in Alexandria.

Output
Magnetization = 0.0 μB per cell
Final energy = -2.31 eV/atom

a b c (Å): 4.3173 4.3173 10.5597
angles (deg): 90.00 90.00 90.00
Atoms (fractional coordinates):
Li1 0.5000 0.5000 0.5000
Ca1 0.5000 0.0000 0.2452
Ca2 0.0000 0.5000 0.7548
Zn1 0.5000 0.5000 0.0000
Zn2 0.0000 0.0000 0.0000
Zn3 0.5000 0.0000 0.6289
Zn4 0.0000 0.5000 0.3711
Ga1 0.0000 0.0000 0.5000
Ga2 0.5000 0.0000 0.8633
Ga3 0.0000 0.5000 0.1367

***

First-principles (PBE) data for Li2CaZnGa after structural relaxation, as listed in Alexandria.

Output
Magnetization = 0.0 μB per cell
Final energy = -2.10 eV/atom
Relative energy among the computed polymorphs = 0.000 eV/atom

a b c (Å): 4.8640 4.8640 4.6902
angles (deg): 90.00 90.00 90.00
Atoms (fractional coordinates):
Zn1 0.0000 0.0000 0.0000
Ca1 0.5000 0.5000 0.5000
Ga1 0.0000 0.0000 0.5000
Li1 0.0000 0.5000 0.0000
Li2 0.5000 0.0000 0.0000

***

First-principles (PBE) data for CaLuMgGa after structural relaxation, as listed in Alexandria.

Output
Magnetization = 0.0 μB per cell
Final energy = -3.04 eV/atom

a b c (Å): 5.1963 5.1963 5.1963
angles (deg): 60.00 60.00 60.00
Atoms (fractional coordinates):
Ca1 0.5000 0.5000 0.5000
Lu1 0.0000 0.0000 0.0000
Mg1 0.7500 0.7500 0.7500
Ga1 0.2500 0.2500 0.2500

***

First-principles (PBE) data for CaLuGaPb after structural relaxation, as listed in Alexandria.

Output
Magnetization = 0.0 μB per cell
Final energy = -3.70 eV/atom

a b c (Å): 5.2812 5.2812 5.2812
angles (deg): 60.00 60.00 60.00
Atoms (fractional coordinates):
Pb1 0.7500 0.7500 0.7500
Ca1 0.5000 0.5000 0.5000
Lu1 0.0000 0.0000 0.0000
Ga1 0.2500 0.2500 0.2500

***

First-principles (PBE) data for CaLuGaPt after structural relaxation, as listed in Alexandria.

Output
Magnetization = 0.0 μB per cell
Final energy = -4.67 eV/atom

a b c (Å): 4.9511 4.9511 4.9511
angles (deg): 60.00 60.00 60.00
Atoms (fractional coordinates):
Ca1 0.5000 0.5000 0.5000
Lu1 0.0000 0.0000 0.0000
Ga1 0.2500 0.2500 0.2500
Pt1 0.7500 0.7500 0.7500

***

First-principles (PBE) data for CaLuGaRh after structural relaxation, as listed in Alexandria.

Output
Magnetization = 0.0 μB per cell
Final energy = -4.75 eV/atom

a b c (Å): 4.9085 4.9085 4.9085
angles (deg): 60.00 60.00 60.00
Atoms (fractional coordinates):
Ca1 0.5000 0.5000 0.5000
Lu1 0.0000 0.0000 0.0000
Rh1 0.7500 0.7500 0.7500
Ga1 0.2500 0.2500 0.2500

***

First-principles (PBE) data for CaLuZnGa after structural relaxation, as listed in Alexandria.

Output
Magnetization = 0.0 μB per cell
Final energy = -3.10 eV/atom

a b c (Å): 5.0489 5.0489 5.0489
angles (deg): 60.00 60.00 60.00
Atoms (fractional coordinates):
Zn1 0.7500 0.7500 0.7500
Lu1 0.0000 0.0000 0.0000
Ca1 0.5000 0.5000 0.5000
Ga1 0.2500 0.2500 0.2500

***

First-principles (PBE) data for Ca2MgGa6 after structural relaxation, as listed in Alexandria.

Output
Magnetization = 0.0 μB per cell
Final energy = -3.01 eV/atom

a b c (Å): 6.0020 6.0275 6.0275
angles (deg): 120.00 90.01 90.00
Atoms (fractional coordinates):
Ca1 0.8536 0.6667 0.3333
Ca2 0.1464 0.3333 0.6667
Mg1 0.0000 0.0000 0.0000
Ga1 0.3425 0.3635 0.1818
Ga2 0.3423 0.8182 0.6365
Ga3 0.3425 0.8183 0.1818
Ga4 0.6575 0.6365 0.8182
Ga5 0.6577 0.1818 0.3635
Ga6 0.6575 0.1817 0.8182

***

First-principles (PBE) data for CaMg2Ga6 after structural relaxation, as listed in Alexandria.

Output
Magnetization = 0.0 μB per cell
Final energy = -2.83 eV/atom
Relative energy among the computed polymorphs = 0.000 eV/atom

a b c (Å): 4.1351 7.5012 7.5012
angles (deg): 57.83 74.00 74.00
Atoms (fractional coordinates):
Ca1 0.5000 0.5000 0.5000
Mg1 0.3801 0.1199 0.1199
Mg2 0.6199 0.8801 0.8801
Ga1 0.1904 0.4985 0.1207
Ga2 0.8096 0.5015 0.8793
Ga3 0.8096 0.8793 0.5015
Ga4 0.0000 0.1769 0.8231
Ga5 0.0000 0.8231 0.1769
Ga6 0.1904 0.1207 0.4985

***

First-principles (PBE) data for Ca3Mg2Ga9 after structural relaxation, as listed in Alexandria.

Output
Magnetization = 0.0 μB per cell
Final energy = -2.99 eV/atom

a b c (Å): 4.3726 8.6132 8.6132
angles (deg): 70.23 75.30 75.30
Atoms (fractional coordinates):
Ca1 0.0000 0.0000 0.0000
Ca2 0.6998 0.3002 0.3002
Ca3 0.3002 0.6998 0.6998
Mg1 0.5000 0.3076 0.6924
Mg2 0.5000 0.6924 0.3076
Ga1 0.0000 0.5000 0.5000
Ga2 0.6618 0.9685 0.7079
Ga3 0.3382 0.0315 0.2921
Ga4 0.6618 0.7079 0.9685
Ga5 0.3382 0.2921 0.0315
Ga6 0.8534 0.8686 0.4246
Ga7 0.1466 0.1314 0.5754
Ga8 0.8534 0.4246 0.8686
Ga9 0.1466 0.5754 0.1314